1.
28
Lattice="6.539 0.000 0.000 0.000 8.685 0.000 -1.803 0.000 6.430" Properties=species:S:1:pos:R:3 comment="Li2CoSi3O8 | the Alexandria database | GGA+U | optimized geometry" total_energy_ev_per_atom=-7.0165 pbc="T T T"
Li -0.799 0.000 3.106
Li 1.928 4.777 1.652
Li 2.809 0.434 4.778
Li 5.536 4.342 3.324
Co 1.877 6.482 3.925
Co 2.860 2.140 2.505
Si -1.075 2.349 6.257
Si -0.044 8.173 5.802
Si 1.129 3.534 4.651
Si 3.607 7.877 1.779
Si 4.780 3.831 0.628
Si 5.811 6.691 0.173
O -1.046 0.790 5.724
O -0.503 3.261 4.979
O 0.885 6.953 0.031
O 0.471 7.851 4.305
O 1.531 2.693 1.166
O 1.034 4.699 3.508
O 1.895 2.181 4.229
O 2.993 8.538 0.387
O 1.743 4.196 6.043
O 2.842 6.523 2.201
O 3.702 0.356 2.922
O 3.205 7.036 5.264
O 4.265 3.509 2.125
O 3.851 2.611 6.399
O 5.239 7.603 1.451
O 5.783 5.132 0.706

---

2.
14
Lattice="3.650 -3.706 0.000 3.650 3.706 0.000 0.000 0.000 6.555" Properties=species:S:1:pos:R:3 comment="LiCoSiO4 | the Alexandria database | GGA+U | optimized geometry" polymorph_energy_mev_per_atom=20 pbc="T T T"
Li 1.396 0.000 0.000
Li 5.904 0.000 3.277
Co 1.362 0.000 3.277
Co 5.938 0.000 0.000
Si 3.650 1.397 1.639
Si 3.650 -1.397 4.916
O 3.563 2.353 0.304
O 3.737 2.353 2.973
O 2.303 0.448 1.739
O 2.303 -0.448 4.816
O 4.997 0.448 1.539
O 4.997 -0.448 5.016
O 3.563 -2.353 6.251
O 3.737 -2.353 3.581

---

3.
28
Lattice="10.385 0.000 0.000 0.000 6.667 0.000 0.000 0.000 5.085" Properties=species:S:1:pos:R:3 comment="LiCoSiO4 | the Alexandria database | GGA+U | optimized geometry" polymorph_energy_mev_per_atom=25 pbc="T T T"
Li 1.601 0.072 0.000
Li 3.592 3.406 2.542
Li 6.793 3.262 0.000
Li 8.784 6.595 2.542
Co 1.755 3.425 0.014
Co 3.437 0.091 2.557
Co 6.947 6.576 0.014
Co 8.630 3.243 2.557
Si 0.973 1.788 2.563
Si 4.219 5.122 0.021
Si 6.165 1.545 2.563
Si 9.412 4.879 0.021
O 0.650 4.920 4.847
O 1.297 1.864 4.183
O 1.668 0.412 1.980
O 1.710 3.079 1.849
O 3.482 6.413 4.391
O 3.524 3.746 4.522
O 3.895 5.197 1.640
O 4.542 1.587 2.305
O 5.843 5.081 4.847
O 6.489 1.470 4.183
O 6.861 2.922 1.980
O 6.902 0.254 1.849
O 8.675 3.588 4.391
O 8.716 6.255 4.522
O 9.088 4.804 1.640
O 9.735 1.747 2.305

---

4.
14
Lattice="5.166 0.000 0.000 -2.581 4.478 0.000 -0.101 -0.691 9.263" Properties=species:S:1:pos:R:3 comment="LiCoSiO4 | the Alexandria database | GGA+U | optimized geometry" polymorph_energy_mev_per_atom=43 pbc="T T T"
Li 0.000 0.000 0.000
Li 0.081 -0.229 4.620
Co 0.030 2.757 3.786
Co 2.447 0.834 8.421
Si -0.032 2.987 0.420
Si 2.631 1.243 5.048
O -1.643 2.571 4.677
O -0.924 0.994 9.062
O -0.235 3.001 2.045
O -0.785 3.690 9.084
O 1.116 1.362 4.400
O 1.567 2.898 0.054
O 2.465 1.143 6.672
O 3.377 -0.108 4.476